1.
## HfZnOF2 (GGA-PBE)

Data for a relaxed HfZnOF2 crystal.

Unit cell a=3.921 b=3.921 c=4.183 alpha=90.00 beta=90.00 gamma=90.00
Atoms (fractional coordinates):
Hf1 0.000 0.000 0.000
Zn1 0.500 0.500 0.500
O1 0.500 0.500 0.000
F1 0.000 0.500 0.500
F2 0.500 0.000 0.500

Summary:
* magnetic moment: 1.655 μB/f.u.
* DOS at the Fermi energy: 2.6 states/eV/f.u.
* E above lowest polymorph: 6.024 eV/f.u.


2.
## LaTmAlCd (GGA-PBE)

Data for a relaxed LaTmAlCd crystal.

Unit cell a=5.321 b=5.321 c=5.321 alpha=60.00 beta=60.00 gamma=60.00
Atoms (fractional coordinates):
La1 0.000 0.000 0.000
Tm1 0.500 0.500 0.500
Al1 0.750 0.750 0.750
Cd1 0.250 0.250 0.250

Summary:
* formation energy from the elements: -325 meV per atom
* magnetic moment: 0.000 μB/f.u.
* DOS at the Fermi energy: 3.9 states/eV/f.u.